Version P
20
Lattice="4.9668 0.0000 -1.0050 0.0000 11.0030 0.0000 -2.3320 0.0000 13.4100" Properties=species:S:1:pos:R:3 comment="Nd6Dy3Th, optimized geometry, DFT PBE-GGA" spacegroup="No. 14" pbc="T T T"
Nd -0.1972 9.1706 11.1536
Nd 1.3256 8.8519 6.2471
Nd 0.6060 5.4174 2.7241
Nd 2.0288 5.5856 9.6809
Nd 1.3092 2.1511 6.1580
Nd 2.8320 1.8324 1.2514
Nd 3.4522 7.3339 3.9461
Nd 0.0082 7.6526 0.0445
Nd 1.9234 0.0841 8.9266
Nd 0.7114 10.9188 3.4784
Nd 2.6267 3.3504 12.3605
Nd -0.8174 3.6691 8.4589
Dy -0.1707 1.7645 11.2891
Dy 2.4834 5.5015 -0.5025
Dy 2.8055 9.2385 1.1159
Dy 3.4787 3.7370 4.0816
Dy -1.1660 0.0000 6.7050
Dy -0.8439 7.2660 8.3234
Th 1.3174 5.5015 6.2025
Th 0.0000 0.0000 0.0000

Version Q
20
Lattice="3.5654 0.0000 0.0000 0.0000 13.3183 0.8638 0.0000 -3.5981 14.1400" Properties=species:S:1:pos:R:3 comment="Nd6Dy3Th, optimized geometry, DFT PBE-GGA" spacegroup="No. 11" pbc="T T T"
Nd 2.6740 4.1772 10.1902
Nd 0.8913 5.5430 4.8135
Nd 2.6740 10.5143 1.8318
Nd 0.8913 -0.7942 13.1720
Nd 2.6740 4.1648 1.9894
Nd 0.8913 5.5554 13.0144
Nd 2.6740 8.6430 4.8389
Nd 0.8913 1.0772 10.1649
Nd 2.6740 -0.1104 6.9531
Nd 0.8913 9.8306 8.0507
Nd 2.6740 7.8262 10.7387
Nd 0.8913 1.8940 4.2651
Dy 2.6740 2.3751 13.1508
Dy 0.8913 7.3450 1.8530
Dy 2.6740 6.5033 7.6289
Dy 0.8913 3.2168 7.3749
Dy 2.6740 0.6118 1.4809
Dy 0.8913 9.1084 13.5228
Th 2.6740 -2.1269 10.2560
Th 0.8913 11.8471 4.7478

Verdict on stability: version P comes out at the bottom.